A relaxed BaFeOsO6 crystal, computed with GGA+U.

## Properties
Energy in eV/atom: -6.967
Volume in Å³/f.u.: 139
Theoretical density in g/cm³: 5.7
Crystal system: trigonal

Lattice parameters (Å, degrees): 5.3121 5.3121 5.7023 90.00 90.00 120.00
Space group P312 (No. 149)
Unique sites:
Ba (0.0000, 0.0000, 0.0000) x1
Fe (0.3333, 0.6667, 0.5000) x1
Os (0.6667, 0.3333, 0.5000) x1
O (0.4031, 0.0168, 0.6927) x6